Record 1
First-principles (GGA-PBE) data for a geometry-optimized RbPb2I4 structure, as listed in Alexandria.

POSCAR file:
```
RbPb2I4
1.0
-3.960 3.713 0.455
-2.302 -5.941 -4.165
-5.325 -7.318 13.381
Pb I Rb
4 8 2
Direct
0.882 0.763 0.944
0.118 0.237 0.056
0.882 0.763 0.556
0.118 0.237 0.444
0.237 0.475 0.612
0.763 0.525 0.112
0.500 0.000 0.500
0.046 0.092 0.250
0.500 0.000 0.000
0.237 0.475 0.888
0.763 0.525 0.388
0.954 0.908 0.750
0.368 0.737 0.250
0.632 0.263 0.750
```

Summary:
Total DFT energy (no corrections) (Ha/atom): -0.104
D(E_F) (states/eV/f.u.): 0.989
Size of the total moment (μB/atom): 0.000
ρ (g/cm3): 5.349
Formation energy from raw total energies (meV/atom): -742.9
Space group: Cmcm, No. 63


Record 2
First-principles (GGA-PBE) data for a geometry-optimized PmScAlOs structure, as listed in Alexandria.

POSCAR file:
```
PmScAlOs
1.0
-1.209 -1.579 4.449
3.363 -0.171 3.522
-0.211 3.135 3.725
Pm Sc Os Al
1 1 1 1
Direct
0.500 0.500 0.500
0.000 0.000 0.000
0.750 0.750 0.750
0.250 0.250 0.250
```

Summary:
Total DFT energy (no corrections) (Ha/atom): -0.247
D(E_F) (states/eV/f.u.): 1.661
Size of the total moment (μB/atom): 0.000
ρ (g/cm3): 8.261
Formation energy (meV/atom): -217
Space group: F-43m, No. 216


Record 3
First-principles (GGA-PBE) data for a geometry-optimized PrEr3Bi2 structure, as listed in Alexandria.

POSCAR file:
```
PrEr3Bi2
1.0
4.371 0.000 0.000
-2.186 10.605 -0.597
0.000 -5.316 8.366
Bi Er Pr
4 6 2
Direct
0.487 0.975 0.818
0.513 0.025 0.182
0.246 0.493 0.785
0.754 0.507 0.215
0.689 0.377 0.489
0.363 0.726 0.204
0.637 0.274 0.796
0.058 0.116 0.445
0.942 0.884 0.555
0.311 0.623 0.511
0.112 0.224 0.103
0.888 0.776 0.897
```

Summary:
Total DFT energy (no corrections) (Ha/atom): -0.179
D(E_F) (states/eV/f.u.): 5.991
Size of the total moment (μB/atom): 0.000
ρ (g/cm3): 9.420
Formation energy (meV/atom): -487
Space group: C2/m, No. 12


Record 4
First-principles (GGA-PBE) data for a geometry-optimized CeCuPdRh structure, as listed in Alexandria.

POSCAR file:
```
CeCuPdRh
1.0
-1.551 1.108 4.227
-4.420 -0.820 1.136
-1.029 -3.344 3.042
Cu Pd Ce Rh
1 1 1 1
Direct
0.250 0.250 0.250
0.500 0.500 0.500
0.750 0.750 0.750
0.000 0.000 0.000
```

Summary:
Total DFT energy (no corrections) (Ha/atom): -0.223
D(E_F) (states/eV/f.u.): 4.655
Size of the total moment (μB/atom): 0.074
Energy above the most stable polymorph in this dataset (meV/atom): 158
ρ (g/cm3): 9.731
Formation energy (meV/atom): -429
Space group: F-43m, No. 216


Record 5
First-principles (GGA-PBE) data for a geometry-optimized La3Ho2Tl4 structure, as listed in Alexandria.

POSCAR file:
```
La3Ho2Tl4
1.0
-4.968 2.185 -0.421
-2.469 0.232 -4.850
-4.340 -9.532 1.741
La Tl Ho
3 4 2
Direct
0.333 0.334 0.422
0.000 0.000 0.000
0.667 0.666 0.578
0.000 0.999 0.660
0.000 0.001 0.340
0.667 0.666 0.897
0.333 0.334 0.103
0.334 0.332 0.781
0.666 0.668 0.219
```

Summary:
Total DFT energy (no corrections) (Ha/atom): -0.148
D(E_F) (states/eV/f.u.): 9.782
Size of the total moment (μB/atom): 0.000
Energy above the most stable polymorph in this dataset (meV/atom): 0
ρ (g/cm3): 9.523
Formation energy (meV/atom): -319
Space group: C2/m, No. 12


Record 6
First-principles (GGA-PBE) data for a geometry-optimized Np2PaTe5 structure, as listed in Alexandria.

POSCAR file:
```
Np2PaTe5
1.0
-3.689 -2.213 -0.250
1.655 -3.639 7.801
-6.400 9.990 6.018
Te Np Pa
10 4 2
Direct
0.500 0.316 0.600
0.000 0.000 0.500
0.500 0.684 0.400
0.000 0.175 0.801
0.500 0.816 0.900
0.000 0.500 0.000
0.500 0.184 0.100
0.000 0.825 0.199
0.000 0.675 0.699
0.000 0.325 0.301
0.500 0.036 0.323
0.500 0.964 0.677
0.500 0.464 0.823
0.500 0.536 0.177
0.000 0.500 0.500
0.000 0.000 0.000
```

Summary:
Total DFT energy (no corrections) (Ha/atom): -0.258
D(E_F) (states/eV/f.u.): 22.994
Size of the total moment (μB/atom): 1.032
ρ (g/cm3): 8.877
Formation energy from raw total energies (meV/atom): -645.3
Space group: Pbam, No. 55


Record 7
First-principles (GGA-PBE) data for a geometry-optimized RbZr3In structure, as listed in Alexandria.

POSCAR file:
```
RbZr3In
1.0
5.063 0.000 0.000
0.000 5.063 0.000
0.000 0.000 5.063
In Zr Rb
1 3 1
Direct
0.500 0.500 0.500
0.000 0.500 0.000
0.000 0.000 0.500
0.500 0.000 0.000
0.000 0.000 0.000
```

Summary:
Total DFT energy (no corrections) (Ha/atom): -0.147
D(E_F) (states/eV/f.u.): 3.136
Size of the total moment (μB/atom): 0.392
Energy above the most stable polymorph in this dataset (meV/atom): 641
ρ (g/cm3): 6.063
Formation energy (meV/atom): 1857
Space group: Pm-3m, No. 221


Question: D(E_F) of number 1 (RbPb2I4)?
Answer: 0.989 states/eV/f.u.


Question: The highest total DFT energy (no corrections) belongs to which entry?
Answer: RbPb2I4